This record from Alexandria via LeMat-Bulk describes an optimized crystal structure of SiIrOs2. The functional is PBE-GGA.

N(E_F): 1.465 states/eV per atom
formation energy (no corrections): 0.40 eV/atom
calculated density: 17.05 g/cm3
final energy: -8.79 eV per atom
space-group type: C2/m, No. 12
crystal system: monoclinic
calculated volume: 14.63 A^3/atom

Unit cell a=5.4729 b=5.4729 c=2.7476 alpha=104.31 beta=104.31 gamma=123.52
Sites, in units of the cell vectors:
Si 0.0000 0.0000 0.0000
Ir 0.5000 0.5000 0.0000
Os 0.0000 0.5000 0.0000
Os 0.5000 0.0000 0.0000